The following is a DFT calculation (GGA-PBE) of crystalline La6TeOs2Br3 at its relaxed geometry.

Lattice parameters (Å, degrees): 4.2983 9.4084 10.0852 106.24 102.30 90.00
Positions (direct):
Br1 0.5000 0.5000 0.0000
Br2 0.8410 0.1548 0.6819
Br3 0.1590 0.8452 0.3181
La1 0.6785 0.5568 0.3571
La2 0.0266 0.2637 0.0531
La3 0.6733 0.1448 0.3466
La4 0.9734 0.7363 0.9469
La5 0.3215 0.4432 0.6429
La6 0.3267 0.8552 0.6534
Os1 0.8314 0.6580 0.6628
Os2 0.1686 0.3420 0.3372
Te1 0.5000 0.0000 0.0000

- E: -6.098 eV per atom
- Calculated volume: 31.8 Å³ per atom
- Space-group type: No. 12

=====

The following is a DFT calculation (GGA-PBE) of crystalline Li3Cd2Rh at its relaxed geometry.

Lattice parameters (Å, degrees): 5.0164 5.0164 8.7857 90.00 90.00 120.00
Positions (direct):
Li1 0.8251 0.1749 0.7723
Li2 0.3498 0.1749 0.7723
Li3 0.6502 0.8251 0.2277
Li4 0.1749 0.3498 0.2277
Li5 0.1749 0.8251 0.2277
Li6 0.8251 0.6502 0.7723
Rh1 0.6667 0.3333 0.0545
Rh2 0.3333 0.6667 0.9455
Cd1 0.3333 0.6667 0.6097
Cd2 0.0000 0.0000 0.5000
Cd3 0.6667 0.3333 0.3903
Cd4 0.0000 0.0000 0.0000

- Energy of formation from the pure elements: -0.066 eV per atom
- Calculated volume: 16.0 Å³ per atom
- Space-group type: No. 164

=====

The following is a DFT calculation (GGA-PBE) of crystalline Er5Al3 at its relaxed geometry.

Lattice parameters (Å, degrees): 7.7180 7.7180 8.9009 115.69 115.69 90.00
Positions (direct):
Er1 0.4808 0.9808 0.2980
Er2 0.6828 0.5192 0.7020
Er3 0.0000 0.0000 0.0000
Er4 0.3172 0.4808 0.2980
Er5 0.0192 0.1828 0.7020
Er6 0.5192 0.0192 0.7020
Er7 0.8172 0.3172 0.2980
Er8 0.5000 0.5000 0.0000
Er9 0.1828 0.6828 0.7020
Er10 0.9808 0.8172 0.2980
Al1 0.3781 0.1219 0.0000
Al2 0.1219 0.6219 0.0000
Al3 0.2500 0.2500 0.5000
Al4 0.7500 0.7500 0.5000
Al5 0.8781 0.3781 0.0000
Al6 0.6219 0.8781 0.0000

- Energy of formation from the pure elements: -0.294 eV per atom
- Calculated volume: 26.2 Å³ per atom
- Space-group type: No. 140

=====

The following is a DFT calculation (GGA-PBE) of crystalline La4Sn2Hg at its relaxed geometry.

Lattice parameters (Å, degrees): 5.3259 6.7462 6.7462 103.95 90.00 90.00
Positions (direct):
Sn1 0.0000 0.2493 0.7507
Sn2 0.0000 0.7507 0.2493
La1 0.5000 0.5000 0.0000
La2 0.0000 0.7538 0.7538
La3 0.5000 0.0000 0.5000
La4 0.0000 0.2462 0.2462
Hg1 0.5000 0.5000 0.5000

- Energy of formation from the pure elements: -0.552 eV per atom
- Calculated volume: 33.6 Å³ per atom
- Space-group type: No. 65

=====

Repeat the fourth record exactly.
The following is a DFT calculation (GGA-PBE) of crystalline La4Sn2Hg at its relaxed geometry.

Lattice parameters (Å, degrees): 5.3259 6.7462 6.7462 103.95 90.00 90.00
Positions (direct):
Sn1 0.0000 0.2493 0.7507
Sn2 0.0000 0.7507 0.2493
La1 0.5000 0.5000 0.0000
La2 0.0000 0.7538 0.7538
La3 0.5000 0.0000 0.5000
La4 0.0000 0.2462 0.2462
Hg1 0.5000 0.5000 0.5000

- Energy of formation from the pure elements: -0.552 eV per atom
- Calculated volume: 33.6 Å³ per atom
- Space-group type: No. 65

=====

Which formula does entry 1 have?
La6TeOs2Br3

=====

Copy entry 3 word for word.
The following is a DFT calculation (GGA-PBE) of crystalline Er5Al3 at its relaxed geometry.

Lattice parameters (Å, degrees): 7.7180 7.7180 8.9009 115.69 115.69 90.00
Positions (direct):
Er1 0.4808 0.9808 0.2980
Er2 0.6828 0.5192 0.7020
Er3 0.0000 0.0000 0.0000
Er4 0.3172 0.4808 0.2980
Er5 0.0192 0.1828 0.7020
Er6 0.5192 0.0192 0.7020
Er7 0.8172 0.3172 0.2980
Er8 0.5000 0.5000 0.0000
Er9 0.1828 0.6828 0.7020
Er10 0.9808 0.8172 0.2980
Al1 0.3781 0.1219 0.0000
Al2 0.1219 0.6219 0.0000
Al3 0.2500 0.2500 0.5000
Al4 0.7500 0.7500 0.5000
Al5 0.8781 0.3781 0.0000
Al6 0.6219 0.8781 0.0000

- Energy of formation from the pure elements: -0.294 eV per atom
- Calculated volume: 26.2 Å³ per atom
- Space-group type: No. 140